# 1
## HgRu3O12 (GGA-PBE)

Data for an optimized crystal structure of HgRu3O12.

As for the space-group type: No. 161. The calculation puts the uncorrected formation energy at -9.4 eV/f.u.

POSCAR file:
```
HgRu3O12
1.0
8.211 0.000 3.965
3.148 7.583 3.965
-0.561 -0.375 11.646
O Ru Hg
24 6 2
Cartesian
6.563 4.471 10.991 O
6.545 0.867 3.801 O
5.561 1.734 9.625 O
3.423 0.360 13.557 O
5.585 5.933 6.123 O
3.682 4.347 9.560 O
7.573 2.601 14.867 O
9.690 5.997 16.984 O
6.887 2.884 5.769 O
1.247 0.742 1.203 O
10.586 7.236 13.213 O
7.555 1.276 11.592 O
7.605 7.002 11.698 O
9.636 4.339 11.821 O
1.742 3.257 13.679 O
2.193 1.954 9.222 O
8.605 5.255 7.363 O
3.175 5.713 3.736 O
4.782 3.023 15.071 O
5.577 6.650 15.208 O
3.855 3.046 7.196 O
6.029 6.580 9.385 O
8.118 2.393 9.044 O
4.809 6.488 11.947 O
5.844 7.388 5.232 Ru
6.252 6.169 11.055 Ru
10.155 5.194 6.606 Ru
2.730 3.409 8.464 Ru
6.688 2.565 4.085 Ru
7.184 1.215 9.908 Ru
0.239 0.160 9.989 Hg
6.199 4.139 8.131 Hg
```


# 2
## BeFeSbRu (GGA-PBE)

Data for an optimized crystal structure of BeFeSbRu.

As for the space-group type: No. 216. The calculation puts the uncorrected formation energy at 0.1 eV/f.u.

POSCAR file:
```
BeFeSbRu
1.0
4.208 0.000 0.000
2.104 3.644 0.000
2.104 1.215 3.436
Ru Sb Fe Be
1 1 1 1
Cartesian
2.104 1.215 0.859 Ru
4.208 2.430 1.718 Sb
6.312 3.644 2.577 Fe
0.000 0.000 0.000 Be
```


# 3
## K4Rb8Hg (GGA-PBE)

Data for an optimized crystal structure of K4Rb8Hg.

As for the space-group type: No. 25. The formation energy comes out at -0.0241 eV/atom.

POSCAR file:
```
K4Rb8Hg
1.0
7.120 0.000 0.000
0.000 7.124 0.000
0.000 0.000 20.336
Hg Rb K
1 8 4
Cartesian
0.000 0.000 4.999 Hg
0.000 0.000 15.337 Rb
3.560 0.000 5.248 Rb
0.000 3.562 5.254 Rb
3.560 0.000 11.931 Rb
0.000 0.000 8.711 Rb
0.000 3.562 18.728 Rb
3.560 3.562 1.873 Rb
3.560 3.562 15.330 Rb
3.560 0.000 18.733 K
0.000 3.562 11.928 K
0.000 0.000 1.490 K
3.560 3.562 8.614 K
```


Mass density in Mg/m³, matching the order above: 3.1 9.1 1.7